Ca2TlSi | PBE | relaxed

abc: 5.3846 3.6073 5.3846
angles: 90.00 90.00 90.00
Closest atoms and distances in Å follow each position.
Fractional positions:
Ca (0.0000, 0.1251, 0.8754)  4 Si 3.24, 4 Tl 3.24, 2 Ca 3.61
Ca (0.5000, 0.1249, 0.3746)  4 Tl 3.24, 4 Si 3.24, 2 Ca 3.61
Si (0.0000, 0.6249, 0.3754)  8 Ca 3.24, 2 Si 3.61
Tl (0.5000, 0.6251, 0.8745)  8 Ca 3.24, 2 Tl 3.61

Summary:
The space-group type is Pmm2 (25). The calculation puts the uncorrected formation energy at -0.308 eV per atom.

---

Ca2TlSi | PBE | relaxed

abc: 5.3772 5.3772 5.3772
angles: 60.00 60.00 60.00
Closest atoms and distances in Å follow each position.
Fractional positions:
Ca (0.0000, 0.0000, 0.0000)  4 Tl 3.29, 4 Ca 3.29
Ca (0.2500, 0.2500, 0.2500)  4 Si 3.29, 4 Ca 3.29
Si (0.5000, 0.5000, 0.5000)  4 Tl 3.29, 4 Ca 3.29
Tl (0.7500, 0.7500, 0.7500)  4 Ca 3.29, 4 Si 3.29

Summary:
The space-group type is F-43m (216). The calculation puts the uncorrected formation energy at 0.045 eV per atom.

---

Ca3TlSi | PBE | relaxed

abc: 5.6589 5.6589 5.6589
angles: 90.00 90.00 90.00
Closest atoms and distances in Å follow each position.
Fractional positions:
Tl (0.5000, 0.5000, 0.5000)  12 Ca 4.00
Si (0.0000, 0.0000, 0.0000)  6 Ca 2.83
Ca (0.0000, 0.5000, 0.0000)  2 Si 2.83
Ca (0.0000, 0.0000, 0.5000)  2 Si 2.83
Ca (0.5000, 0.0000, 0.0000)  2 Si 2.83

Summary:
The space-group type is Pm-3m (221). The calculation puts the uncorrected formation energy at -0.182 eV per atom.

---

CaTlSi | PBE | relaxed

abc: 4.4505 4.4505 4.5453
angles: 90.00 90.00 120.00
Closest atoms and distances in Å follow each position.
Fractional positions:
Ca (0.0000, 0.0000, 0.0183)  3 Si 3.08, 3 Tl 3.23
Si (0.6667, 0.3333, 0.3922)  3 Tl 2.72
Tl (0.3333, 0.6667, 0.5895)  3 Si 2.72

Summary:
The space-group type is P3m1 (156). The calculation puts the uncorrected formation energy at -0.138 eV per atom.

---

Ca2TlSi | PBE | relaxed

abc: 6.2162 6.2162 5.4733
angles: 71.76 71.76 31.96
Closest atoms and distances in Å follow each position.
Fractional positions:
Ca (0.0149, 0.0149, 0.9459)  4 Si 3.14-3.36, 3 Tl 3.19-3.47, 3 Ca 3.42-3.50
Ca (0.2228, 0.2228, 0.3241)  3 Si 3.24-3.36, 4 Tl 3.29-3.30, 3 Ca 3.42-3.50
Si (0.4807, 0.4807, 0.4460)  2 Tl 3.02, 7 Ca 3.14-3.36
Tl (0.7816, 0.7816, 0.7840)  2 Si 3.02, 5 Ca 3.19-3.30

Summary:
The space-group type is Cm (8). The calculation puts the uncorrected formation energy at -0.218 eV per atom.

---

CaTlSi | PBE | relaxed

abc: 3.8851 4.3610 9.4410
angles: 76.65 90.00 90.00
Closest atoms and distances in Å follow each position.
Fractional positions:
Si (0.7500, 0.4617, 0.0766)  2 Si 2.40
Si (0.2500, 0.5383, 0.9234)  2 Si 2.40
Tl (0.7500, 0.2924, 0.4151)  1 Si 3.11, 4 Tl 3.31
Tl (0.2500, 0.7076, 0.5849)  1 Si 3.11, 4 Tl 3.31
Ca (0.7500, 0.0893, 0.8213)  6 Si 3.07-3.20
Ca (0.2500, 0.9107, 0.1787)  6 Si 3.07-3.20

Summary:
The space-group type is Cmcm (63). The calculation puts the uncorrected formation energy at -0.330 eV per atom.

---

CaTlSi3 | PBE | relaxed

abc: 5.2368 5.2368 5.2368
angles: 90.00 90.00 90.00
Closest atoms and distances in Å follow each position.
Fractional positions:
Tl (0.0000, 0.0000, 0.0000)  6 Si 2.62
Si (0.0000, 0.5000, 0.0000)  2 Tl 2.62
Si (0.0000, 0.0000, 0.5000)  2 Tl 2.62
Si (0.5000, 0.0000, 0.0000)  2 Tl 2.62
Ca (0.5000, 0.5000, 0.5000)  12 Si 3.70

Summary:
The space-group type is Pm-3m (221). The calculation puts the uncorrected formation energy at 0.962 eV per atom.

---

Ca7Tl2Si2 | PBE | relaxed

abc: 7.1323 7.1323 7.4867
angles: 90.00 90.00 73.56
Closest atoms and distances in Å follow each position.
Fractional positions:
Ca (0.0000, 0.5000, 0.7555)  2 Si 2.91
Ca (0.5000, 0.0000, 0.2445)  2 Si 2.91
Ca (0.0000, 0.5000, 0.2445)  2 Si 2.91
Ca (0.5000, 0.0000, 0.7555)  2 Si 2.91
Ca (0.0000, 0.0000, 0.5000)  2 Si 3.35
Ca (0.5000, 0.5000, 0.2586)  2 Si 2.98
Ca (0.5000, 0.5000, 0.7414)  2 Si 2.98
Tl (0.1755, 0.8245, 0.0000)  1 Tl 3.00
Tl (0.8245, 0.1755, 0.0000)  1 Tl 3.00
Si (0.2929, 0.2929, 0.5000)  6 Ca 2.91-2.98
Si (0.7071, 0.7071, 0.5000)  6 Ca 2.91-2.98

Summary:
The space-group type is Cmmm (65). The calculation puts the uncorrected formation energy at -0.272 eV per atom.